[1]
Here is crystalline HfTlAs2Br at its relaxed geometry from Alexandria. Energies are from PBE.

Values from the calculation:
Space-group type ... P4/mmm, No. 123

a b c (Å): 5.1567 5.1567 5.6015
angles (deg): 90.00 90.00 90.00
Positions (direct):
Tl (0.5000, 0.5000, 0.5000)
Hf (0.0000, 0.0000, 0.0000)
As (0.0000, 0.5000, 0.0000)
As (0.5000, 0.0000, 0.0000)
Br (0.0000, 0.0000, 0.5000)

[2]
Here is crystalline HfVAsBr2 at its relaxed geometry from Alexandria. Energies are from PBE.

Values from the calculation:
Space-group type ... P4/mmm, No. 123

a b c (Å): 4.8365 5.2068 4.8365
angles (deg): 90.00 90.00 90.00
Positions (direct):
As (0.0000, 0.5000, 0.0000)
Hf (0.5000, 0.5000, 0.5000)
Br (0.0000, 0.0000, 0.5000)
Br (0.5000, 0.0000, 0.0000)
V (0.0000, 0.0000, 0.0000)

[3]
Here is crystalline HfVAsBr2 at its relaxed geometry from Alexandria. Energies are from PBE.

Values from the calculation:
Space-group type ... P4/mmm, No. 123

a b c (Å): 5.1734 5.1734 5.3222
angles (deg): 90.00 90.00 90.00
Positions (direct):
As (0.0000, 0.0000, 0.5000)
Hf (0.0000, 0.0000, 0.0000)
Br (0.0000, 0.5000, 0.0000)
Br (0.5000, 0.0000, 0.0000)
V (0.5000, 0.5000, 0.5000)

[4]
Here is crystalline HfAs2WBr at its relaxed geometry from Alexandria. Energies are from PBE.

Values from the calculation:
Space-group type ... P4/mmm, No. 123

a b c (Å): 4.8656 4.8656 5.0925
angles (deg): 90.00 90.00 90.00
Positions (direct):
As (0.0000, 0.5000, 0.0000)
As (0.5000, 0.0000, 0.0000)
Hf (0.5000, 0.5000, 0.5000)
Br (0.0000, 0.0000, 0.5000)
W (0.0000, 0.0000, 0.0000)

[5]
Here is crystalline HfAs2WBr at its relaxed geometry from Alexandria. Energies are from PBE.

Values from the calculation:
Space-group type ... P4/mmm, No. 123

a b c (Å): 5.1994 5.1994 5.0225
angles (deg): 90.00 90.00 90.00
Positions (direct):
As (0.0000, 0.5000, 0.0000)
As (0.5000, 0.0000, 0.0000)
Hf (0.0000, 0.0000, 0.0000)
Br (0.0000, 0.0000, 0.5000)
W (0.5000, 0.5000, 0.5000)

[6]
Here is crystalline YHfAs2Br at its relaxed geometry from Alexandria. Energies are from PBE.

Values from the calculation:
Space-group type ... P4/mmm, No. 123

a b c (Å): 5.1979 5.1979 5.0263
angles (deg): 90.00 90.00 90.00
Positions (direct):
Y (0.5000, 0.5000, 0.5000)
As (0.0000, 0.5000, 0.0000)
As (0.5000, 0.0000, 0.0000)
Hf (0.0000, 0.0000, 0.0000)
Br (0.0000, 0.0000, 0.5000)

[7]
Here is crystalline YHfAs2Br at its relaxed geometry from Alexandria. Energies are from PBE.

Values from the calculation:
Space-group type ... P4/mmm, No. 123

a b c (Å): 5.4197 5.4197 5.1952
angles (deg): 90.00 90.00 90.00
Positions (direct):
Y (0.0000, 0.0000, 0.0000)
As (0.0000, 0.5000, 0.0000)
As (0.5000, 0.0000, 0.0000)
Hf (0.5000, 0.5000, 0.5000)
Br (0.0000, 0.0000, 0.5000)

[8]
Here is crystalline YHfAsBr2 at its relaxed geometry from Alexandria. Energies are from PBE.

Values from the calculation:
Space-group type ... P4/mmm, No. 123

a b c (Å): 5.1171 5.1171 5.3379
angles (deg): 90.00 90.00 90.00
Positions (direct):
Y (0.5000, 0.5000, 0.5000)
As (0.0000, 0.0000, 0.5000)
Hf (0.0000, 0.0000, 0.0000)
Br (0.0000, 0.5000, 0.0000)
Br (0.5000, 0.0000, 0.0000)

[9]
Here is crystalline YHfAsBr2 at its relaxed geometry from Alexandria. Energies are from PBE.

Values from the calculation:
Space-group type ... P4/mmm, No. 123

a b c (Å): 5.3086 5.3086 5.7848
angles (deg): 90.00 90.00 90.00
Positions (direct):
Y (0.0000, 0.0000, 0.0000)
As (0.0000, 0.0000, 0.5000)
Hf (0.5000, 0.5000, 0.5000)
Br (0.0000, 0.5000, 0.0000)
Br (0.5000, 0.0000, 0.0000)

[10]
Here is crystalline HfZnAsBr2 at its relaxed geometry from Alexandria. Energies are from PBE.

Values from the calculation:
Space-group type ... P4/mmm, No. 123

a b c (Å): 4.8466 4.8466 5.2484
angles (deg): 90.00 90.00 90.00
Positions (direct):
As (0.0000, 0.0000, 0.5000)
Hf (0.5000, 0.5000, 0.5000)
Zn (0.0000, 0.0000, 0.0000)
Br (0.0000, 0.5000, 0.0000)
Br (0.5000, 0.0000, 0.0000)

[11]
Here is crystalline HfZnAs2Br at its relaxed geometry from Alexandria. Energies are from PBE.

Values from the calculation:
Space-group type ... P4/mmm, No. 123

a b c (Å): 5.1998 5.1998 5.2754
angles (deg): 90.00 90.00 90.00
Positions (direct):
As (0.0000, 0.5000, 0.0000)
As (0.5000, 0.0000, 0.0000)
Hf (0.0000, 0.0000, 0.0000)
Zn (0.5000, 0.5000, 0.5000)
Br (0.0000, 0.0000, 0.5000)

[12]
Here is crystalline HfZnAs2Br at its relaxed geometry from Alexandria. Energies are from PBE.

Values from the calculation:
Space-group type ... P4/mmm, No. 123

a b c (Å): 5.2301 4.8701 5.2301
angles (deg): 90.00 90.00 90.00
Positions (direct):
As (0.0000, 0.0000, 0.5000)
As (0.5000, 0.0000, 0.0000)
Hf (0.0000, 0.5000, 0.0000)
Zn (0.5000, 0.5000, 0.5000)
Br (0.0000, 0.0000, 0.0000)

[13]
Here is crystalline HfZnAs2Br at its relaxed geometry from Alexandria. Energies are from PBE.

Values from the calculation:
Space-group type ... P4/mmm, No. 123

a b c (Å): 4.7673 4.7673 5.0199
angles (deg): 90.00 90.00 90.00
Positions (direct):
As (0.0000, 0.5000, 0.0000)
As (0.5000, 0.0000, 0.0000)
Hf (0.5000, 0.5000, 0.5000)
Zn (0.0000, 0.0000, 0.0000)
Br (0.0000, 0.0000, 0.5000)

[14]
Here is crystalline HfZnAsBr2 at its relaxed geometry from Alexandria. Energies are from PBE.

Values from the calculation:
Space-group type ... P4/mmm, No. 123

a b c (Å): 5.2650 5.2650 5.2989
angles (deg): 90.00 90.00 90.00
Positions (direct):
As (0.0000, 0.0000, 0.5000)
Hf (0.0000, 0.0000, 0.0000)
Zn (0.5000, 0.5000, 0.5000)
Br (0.0000, 0.5000, 0.0000)
Br (0.5000, 0.0000, 0.0000)

[15]
Here is crystalline HfZrAs2Br at its relaxed geometry from Alexandria. Energies are from PBE.

Values from the calculation:
Space-group type ... P4/mmm, No. 123

a b c (Å): 5.2054 5.2054 5.0419
angles (deg): 90.00 90.00 90.00
Positions (direct):
As (0.0000, 0.5000, 0.0000)
As (0.5000, 0.0000, 0.0000)
Hf (0.5000, 0.5000, 0.5000)
Br (0.0000, 0.0000, 0.5000)
Zr (0.0000, 0.0000, 0.0000)

[16]
Here is crystalline HfZrAs2Br at its relaxed geometry from Alexandria. Energies are from PBE.

Values from the calculation:
Space-group type ... P4/mmm, No. 123

a b c (Å): 5.1441 5.1441 5.0555
angles (deg): 90.00 90.00 90.00
Positions (direct):
As (0.0000, 0.5000, 0.0000)
As (0.5000, 0.0000, 0.0000)
Hf (0.0000, 0.0000, 0.0000)
Br (0.0000, 0.0000, 0.5000)
Zr (0.5000, 0.5000, 0.5000)

[17]
Here is crystalline HgAsBr3 at its relaxed geometry from Alexandria. Energies are from PBE.

Values from the calculation:
Space-group type ... Pm-3m, No. 221

a b c (Å): 5.5397 5.5397 5.5397
angles (deg): 90.00 90.00 90.00
Positions (direct):
Hg (0.0000, 0.0000, 0.0000)
As (0.5000, 0.5000, 0.5000)
Br (0.0000, 0.5000, 0.0000)
Br (0.0000, 0.0000, 0.5000)
Br (0.5000, 0.0000, 0.0000)

[18]
Here is crystalline Hg2AsBr at its relaxed geometry from Alexandria. Energies are from PBE.

Values from the calculation:
Space-group type ... P4/mmm, No. 123

a b c (Å): 3.5693 3.5669 7.7173
angles (deg): 90.00 90.00 90.00
Positions (direct):
As (0.5000, 0.5000, 0.2500)
Hg (0.0000, 0.0000, 0.0264)
Hg (0.0000, 0.0000, 0.4736)
Br (0.5000, 0.5000, 0.7500)

[19]
Here is crystalline Hg4AsBr at its relaxed geometry from Alexandria. Energies are from PBE.

Values from the calculation:
Space-group type ... F-43m, No. 216

a b c (Å): 6.0194 6.0194 6.0194
angles (deg): 60.00 60.00 60.00
Positions (direct):
Hg (0.8755, 0.3748, 0.3748)
Hg (0.3748, 0.3748, 0.8755)
Hg (0.3748, 0.8755, 0.3748)
Hg (0.3748, 0.3748, 0.3748)
As (0.7500, 0.7500, 0.7500)
Br (0.0000, 0.0000, 0.0000)

[20]
Here is crystalline Hg2AsBr at its relaxed geometry from Alexandria. Energies are from PBE.

Values from the calculation:
Space-group type ... C2/m, No. 12

a b c (Å): 5.1928 5.1928 5.2439
angles (deg): 72.11 72.11 113.37
Positions (direct):
As (0.5000, 0.0000, 0.5000)
Hg (0.0000, 0.0000, 0.0000)
Hg (0.5000, 0.5000, 0.0000)
Br (0.0000, 0.5000, 0.5000)

Number 1: raw total energy -4.956 eV/atom, uncorrected formation energy -298 meV per atom. Number 2: raw total energy -5.058 eV/atom, uncorrected formation energy 356 meV per atom. Number 3: raw total energy -5.241 eV/atom, uncorrected formation energy 173 meV per atom. Number 4: raw total energy -5.937 eV/atom, uncorrected formation energy 839 meV per atom. Number 5: raw total energy -5.752 eV/atom, uncorrected formation energy 1024 meV per atom. Number 6: raw total energy -5.939 eV/atom, uncorrected formation energy -461 meV per atom. Number 7: raw total energy -5.161 eV/atom, uncorrected formation energy 317 meV per atom. Number 8: raw total energy -5.302 eV/atom, uncorrected formation energy -419 meV per atom. Number 9: raw total energy -4.916 eV/atom, uncorrected formation energy -34 meV per atom. Number 10: raw total energy -3.449 eV/atom, uncorrected formation energy 396 meV per atom. Number 11: raw total energy -4.391 eV/atom, uncorrected formation energy 48 meV per atom. Number 12: raw total energy -3.331 eV/atom, uncorrected formation energy 1109 meV per atom. Number 13: raw total energy -3.915 eV/atom, uncorrected formation energy 525 meV per atom. Number 14: raw total energy -4.127 eV/atom, uncorrected formation energy -283 meV per atom. Number 15: raw total energy -5.591 eV/atom, uncorrected formation energy 304 meV per atom. Number 16: raw total energy -5.771 eV/atom, uncorrected formation energy 124 meV per atom. Number 17: raw total energy -1.620 eV/atom, uncorrected formation energy 374 meV per atom. Number 18: raw total energy -1.523 eV/atom, uncorrected formation energy 209 meV per atom. Number 19: raw total energy -0.933 eV/atom, uncorrected formation energy 322 meV per atom. Number 20: raw total energy -1.617 eV/atom, uncorrected formation energy 114 meV per atom.